Here is a geometry-optimized GeRhF structure from Alexandria. Energies are from PBE.

a b c (Å): 4.0981 4.1741 6.2237
angles (deg): 90.00 90.00 90.00
Last column: nearest neighbours and their distance in Å.
Element x y z (fractional)
Ge 0.2500 0.2500 0.2039  1 F 1.77
Ge 0.7500 0.7500 0.7961  1 F 1.77
Rh 0.2500 0.7500 0.0027  4 Ge 2.42-2.43
Rh 0.7500 0.2500 0.9973  4 Ge 2.42-2.43
F 0.2500 0.2500 0.4880  1 Ge 1.77
F 0.7500 0.7500 0.5120  1 Ge 1.77

Results
- V (Å³/atom) = 17.74
- density of states at the Fermi level (states/eV/cell) = 1.04
- total magnetic moment (Bohr magnetons per cell) = 0.000
- raw formation energy (meV per atom) = -1103



Here is a geometry-optimized Na3Zr2RhS6 structure from Alexandria. Energies are from PBE.

a b c (Å): 6.3957 6.3957 7.1378
angles (deg): 99.23 99.23 120.72
Last column: nearest neighbours and their distance in Å.
Element x y z (fractional)
Na 0.0000 0.0000 0.0000  6 S 2.78-2.90
Na 0.3262 0.6738 0.0000  6 S 2.79-2.90
Na 0.6738 0.3262 0.0000  6 S 2.79-2.90
Zr 0.1512 0.8488 0.5000  6 S 2.55-2.66
Zr 0.8488 0.1512 0.5000  6 S 2.55-2.66
Rh 0.5000 0.5000 0.5000  6 S 2.47-2.70
S 0.1136 0.4397 0.2953  1 Rh 2.47, 2 Zr 2.62-2.66
S 0.2483 0.2483 0.7415  2 Zr 2.55, 1 Rh 2.70, 3 Na 2.78-2.79
S 0.4397 0.1136 0.2953  1 Rh 2.47, 2 Zr 2.62-2.66
S 0.5603 0.8864 0.7047  1 Rh 2.47, 2 Zr 2.62-2.66
S 0.7517 0.7517 0.2585  2 Zr 2.55, 1 Rh 2.70, 3 Na 2.78-2.79
S 0.8864 0.5603 0.7047  1 Rh 2.47, 2 Zr 2.62-2.66

Results
- V (Å³/atom) = 19.79
- density of states at the Fermi level (states/eV/cell) = 1.89
- total magnetic moment (Bohr magnetons per cell) = 0.035
- raw formation energy (meV per atom) = -1201



Here is a geometry-optimized NaBiPt2Br structure from Alexandria. Energies are from PBE.

a b c (Å): 5.0369 5.0369 8.1824
angles (deg): 90.00 90.00 90.00
Last column: nearest neighbours and their distance in Å.
Element x y z (fractional)
Na 0.0000 0.0000 0.0000  4 Br 3.56
Bi 0.0000 0.0000 0.5000  4 Pt 2.52
Pt 0.0000 0.5000 0.5000  2 Bi 2.52
Pt 0.5000 0.0000 0.5000  2 Bi 2.52
Br 0.5000 0.5000 0.0000  4 Na 3.56

Results
- V (Å³/atom) = 41.52
- density of states at the Fermi level (states/eV/cell) = 8.82
- total magnetic moment (Bohr magnetons per cell) = 0.000
- raw formation energy (meV per atom) = 459



Here is a geometry-optimized LiMoPdC2 structure from Alexandria. Energies are from PBE.

a b c (Å): 3.7955 3.7955 3.9710
angles (deg): 90.00 90.00 90.00
Last column: nearest neighbours and their distance in Å.
Element x y z (fractional)
Li 0.0000 0.0000 0.0000  4 C 1.90, 2 Mo 1.99
Mo 0.0000 0.0000 0.5000  2 Li 1.99
Pd 0.5000 0.5000 0.5000  4 Mo 2.68, 8 C 2.75
C 0.0000 0.5000 0.0000  2 Li 1.90
C 0.5000 0.0000 0.0000  2 Li 1.90

Results
- energy relative to the elements (eV/atom) = 2.3154
- V (Å³/atom) = 11.44
- density of states at the Fermi level (states/eV/cell) = 4.05
- total magnetic moment (Bohr magnetons per cell) = 0.000